DFT (PBE) results for a relaxed PuFe4Pb crystal.

V: 93.39 Å³/cell
ρ: 11.99 g/cm3
space group: No. 216
calculated total energy: -51.203 eV for the cell shown

a = 5.0926 Å, b = 5.0926 Å, c = 5.0926 Å
α = 60.00°, β = 60.00°, γ = 60.00°
Each line ends with the local moment (μB).
Element x y z (fractional)
1 Pb 0.0000 0.0000 0.0000  -0.08
2 Fe 0.6250 0.6250 0.1251  2.15
3 Fe 0.6250 0.1251 0.6250  2.15
4 Fe 0.6250 0.6250 0.6250  2.15
5 Fe 0.1251 0.6250 0.6250  2.15
6 Pu 0.2500 0.2500 0.2500  -5.21